1.
# InSn2N2 PBE-GGA optimized geometry
data_InSn2N2
_space_group_name_H-M_alt 'P 4/m b m'
_space_group_IT_number 127
_space_group_name_Hall '-P 4 2ab'
_cell_length_a 7.3733
_cell_length_b 7.3733
_cell_length_c 3.5130
_cell_angle_alpha 90.00
_cell_angle_beta 90.00
_cell_angle_gamma 90.00
loop_
_atom_site_label
_atom_site_type_symbol
_atom_site_fract_x
_atom_site_fract_y
_atom_site_fract_z
_atom_site_occupancy
In1 In 0.0000 0.0000 0.0000 1
Sn1 Sn 0.1403 0.3598 0.5000 1
N1 N 0.2465 0.7465 0.0000 1
# - Excess energy over the best structure of this formula in the dataset: 0.000 eV/f.u.
# - Crystal system: tetragonal
# - Total energy: -0.3521 Ry per atom
# - Fermi-level density of states: 4.15 states/eV per cell

=====

2.
# InSnN2 PBE-GGA optimized geometry
data_InSnN2
_space_group_name_H-M_alt 'R -3 m'
_space_group_IT_number 166
_space_group_name_Hall '-R 3 2"'
_cell_length_a 3.3558
_cell_length_b 3.3558
_cell_length_c 19.2397
_cell_angle_alpha 90.00
_cell_angle_beta 90.00
_cell_angle_gamma 120.00
loop_
_atom_site_label
_atom_site_type_symbol
_atom_site_fract_x
_atom_site_fract_y
_atom_site_fract_z
_atom_site_occupancy
In1 In 0.0000 0.0000 0.0000 1
Sn1 Sn 0.0000 0.0000 0.5000 1
N1 N 0.0000 0.0000 0.1100 1
# - Excess energy over the best structure of this formula in the dataset: 0.562 eV/f.u.
# - Crystal system: trigonal
# - Total energy: -0.3988 Ry per atom
# - Fermi-level density of states: 7.14 states/eV per cell

=====

Number 1: raw formation energy 0.69 eV/atom. Number 2: raw formation energy 0.42 eV/atom.